Entry from OQMD: a relaxed structure of CuAg (PBE).

Cell lengths 3.754, 5.645, 5.645 Å; angles 90.58, 90.00, 90.00 degrees
Atoms (fractional coordinates):
Cu: 0.500 0.243 0.243
Cu: 0.000 0.488 0.009
Cu: 0.000 0.009 0.488
Cu: 0.000 0.017 0.017
Ag: 0.500 0.754 0.754
Ag: 0.500 0.243 0.760
Ag: 0.500 0.760 0.243
Ag: 0.000 0.487 0.487

Values from the calculation:
E_tot in eV/atom: -3.17
Energy relative to the elements in meV per atom: 97
Symmetry: Amm2

=====

Entry from OQMD: a relaxed structure of Cu3Ag4 (PBE).

Cell lengths 5.715, 5.715, 7.066 Å; angles 104.39, 104.39, 28.94 degrees
Atoms (fractional coordinates):
Cu: 0.800 0.800 0.893
Cu: 0.500 0.500 0.000
Cu: 0.200 0.200 0.107
Ag: 0.358 0.358 0.608
Ag: 0.910 0.910 0.281
Ag: 0.090 0.090 0.719
Ag: 0.642 0.642 0.392

Values from the calculation:
E_tot in eV/atom: -3.13
Energy relative to the elements in meV per atom: 75
Polymorph energy (0 for the lowest one) in kJ/mol of formula units: 22.3
Symmetry: C2/m

=====

Entry from OQMD: a relaxed structure of CuAg (PBE).

Cell lengths 11.281, 11.281, 4.757 Å; angles 95.34, 95.34, 14.25 degrees
Atoms (fractional coordinates):
Cu: 0.002 0.002 0.996
Cu: 0.894 0.894 0.303
Cu: 0.305 0.305 0.119
Cu: 0.803 0.803 0.588
Cu: 0.595 0.595 0.198
Ag: 0.399 0.399 0.815
Ag: 0.099 0.099 0.708
Ag: 0.708 0.708 0.901
Ag: 0.495 0.495 0.478
Ag: 0.200 0.200 0.394

Values from the calculation:
E_tot in eV/atom: -3.17
Energy relative to the elements in meV per atom: 104
Symmetry: Cm

=====

Entry from OQMD: a relaxed structure of Cu3Ag5 (PBE).

Cell lengths 3.825, 6.424, 6.424 Å; angles 52.90, 90.00, 90.00 degrees
Atoms (fractional coordinates):
Cu: 0.500 0.369 0.369
Cu: 0.000 0.019 0.491
Cu: 0.000 0.491 0.019
Ag: 0.000 0.249 0.741
Ag: 0.500 0.629 0.629
Ag: 0.500 0.135 0.135
Ag: 0.500 0.866 0.866
Ag: 0.000 0.741 0.249

Values from the calculation:
E_tot in eV/atom: -3.07
Energy relative to the elements in meV per atom: 86
Polymorph energy (0 for the lowest one) in kJ/mol of formula units: 38.2
Symmetry: Amm2

=====

Entry from OQMD: a relaxed structure of CuAg8 (PBE).

Cell lengths 18.294, 18.294, 18.294 Å; angles 170.82, 170.82, 12.99 degrees
Atoms (fractional coordinates):
Ag: 0.107 0.107 0.000
Ag: 0.778 0.778 0.000
Ag: 0.549 0.549 0.000
Ag: 0.893 0.893 0.000
Ag: 0.451 0.451 0.000
Ag: 0.336 0.336 0.000
Ag: 0.222 0.222 0.000
Ag: 0.664 0.664 0.000
Cu: 0.000 0.000 0.000

Values from the calculation:
E_tot in eV/atom: -2.90
Energy relative to the elements in meV per atom: 20
Polymorph energy (0 for the lowest one) in kJ/mol of formula units: 0.0
Symmetry: I4/mmm

=====

Entry from OQMD: a relaxed structure of CuAg2 (PBE).

Cell lengths 4.938, 4.938, 5.709 Å; angles 108.68, 108.68, 47.25 degrees
Atoms (fractional coordinates):
Ag: 0.508 0.508 0.764
Ag: 0.492 0.492 0.236
Ag: 0.826 0.826 0.403
Ag: 0.174 0.174 0.597
Cu: 0.165 0.165 0.078
Cu: 0.835 0.835 0.922

Values from the calculation:
E_tot in eV/atom: -3.04
Energy relative to the elements in meV per atom: 81
Polymorph energy (0 for the lowest one) in kJ/mol of formula units: 14.5
Symmetry: C2/m